A relaxed HgTe2Pd crystal. Source: Alexandria, functional PBE-GGA.

Computed properties:
As for the symmetry: Pmmn (59). For the magnetization, the calculation gives 0.00 Bohr magnetons per cell. The density is 8.7 Mg/m³. The calculation puts the uncorrected energy at -3.07 eV per atom.

Lattice parameters (Å, degrees): 3.9425 7.2106 7.5555 90.02 90.00 90.00
Fractional positions:
Pd 0.2500 0.7500 0.9242
Te 0.7500 0.5129 0.8081
Hg 0.7500 0.7500 0.4435
Hg 0.2500 0.2500 0.5565
Pd 0.7500 0.2500 0.0758
Te 0.2500 0.0131 0.1919
Te 0.7500 0.9869 0.8081
Te 0.2500 0.4871 0.1919